Entry 1:
Density functional theory data (PBE-GGA) for crystalline Nd12Sm7In at its relaxed geometry.

Lattice parameters (Å, degrees): 8.8403 8.8403 8.8403 89.00 89.00 89.00
Fractional coordinates of all 20 atoms:
Nd: 0.8727 0.2595 0.7399
Nd: 0.7405 0.2601 0.1273
Nd: 0.6151 0.1426 0.4991
Nd: 0.8574 0.5009 0.3849
Nd: 0.2601 0.1273 0.7405
Nd: 0.5009 0.3849 0.8574
Nd: 0.4991 0.6151 0.1426
Nd: 0.7399 0.8727 0.2595
Nd: 0.1426 0.4991 0.6151
Nd: 0.3849 0.8574 0.5009
Nd: 0.2595 0.7399 0.8727
Nd: 0.1273 0.7405 0.2601
Sm: 0.8550 0.6178 0.9327
Sm: 0.3822 0.0673 0.1450
Sm: 0.0673 0.1450 0.3822
Sm: 0.5000 0.5000 0.5000
Sm: 0.9327 0.8550 0.6178
Sm: 0.6178 0.9327 0.8550
Sm: 0.1450 0.3822 0.0673
In: 0.0000 0.0000 0.0000

Calculated values
- Magnetization: 0.001 μB per formula unit
- Formation energy: 0.1340 eV per atom
- E: -4.52 eV/atom

***

Entry 2:
Density functional theory data (PBE-GGA) for crystalline PrNdGeAu at its relaxed geometry.

Lattice parameters (Å, degrees): 4.2188 4.4598 6.0448 90.00 110.42 90.00
Fractional coordinates of all 4 atoms:
Pr: 0.8590 0.5000 0.7180
Nd: 0.1362 0.0000 0.2723
Ge: 0.5847 0.5000 0.1694
Au: 0.4202 0.0000 0.8403

Calculated values
- Magnetization: 0.000 μB per formula unit
- Formation energy: -0.7874 eV per atom
- E: -5.15 eV/atom

***

Entry 3:
Density functional theory data (PBE-GGA) for crystalline KZrMo2 at its relaxed geometry.

Lattice parameters (Å, degrees): 4.8324 4.8324 4.8324 60.00 60.00 60.00
Fractional coordinates of all 4 atoms:
K: 0.5000 0.5000 0.5000
Mo: 0.0000 0.0000 0.0000
Mo: 0.2500 0.2500 0.2500
Zr: 0.7500 0.7500 0.7500

Calculated values
- Magnetization: 0.000 μB per formula unit
- Formation energy: 1.2790 eV per atom
- E: -6.55 eV/atom

***

Entry 4:
Density functional theory data (PBE-GGA) for crystalline ZrScPa2 at its relaxed geometry.

Lattice parameters (Å, degrees): 3.2006 3.2006 11.1225 81.73 81.73 60.00
Fractional coordinates of all 4 atoms:
Zr: 0.6662 0.6662 0.0014
Sc: 0.5005 0.5005 0.4984
Pa: 0.0835 0.0835 0.7496
Pa: 0.2498 0.2498 0.2506

Calculated values
- Magnetization: 0.000 μB per formula unit
- Formation energy: 0.0764 eV per atom
- E: -8.39 eV/atom

***

Entry 5:
Density functional theory data (PBE-GGA) for crystalline InNiPt2 at its relaxed geometry.

Lattice parameters (Å, degrees): 4.8662 4.8662 4.6896 76.61 76.61 35.80
Fractional coordinates of all 4 atoms:
In: 0.4934 0.4934 0.4941
Ni: 0.7497 0.7497 0.7748
Pt: 0.0085 0.0085 0.9743
Pt: 0.2484 0.2484 0.2569

Calculated values
- Magnetization: 0.000 μB per formula unit
- Formation energy: -0.1958 eV per atom
- E: -5.35 eV/atom

***

Entry 6:
Density functional theory data (PBE-GGA) for crystalline YTm5Tl2 at its relaxed geometry.

Lattice parameters (Å, degrees): 3.5923 8.3284 8.3284 76.43 77.55 77.55
Fractional coordinates of all 8 atoms:
Y: 0.0000 0.0000 0.0000
Tm: 0.0000 0.5000 0.5000
Tm: 0.6329 0.5949 0.1392
Tm: 0.3671 0.4051 0.8608
Tm: 0.3671 0.8608 0.4051
Tm: 0.6329 0.1392 0.5949
Tl: 0.7397 0.7603 0.7603
Tl: 0.2603 0.2397 0.2397

Calculated values
- Magnetization: 0.000 μB per formula unit
- Formation energy: -0.1133 eV per atom
- E: -4.31 eV/atom

***

Entry 7:
Density functional theory data (PBE-GGA) for crystalline Mg2InGaRu at its relaxed geometry.

Lattice parameters (Å, degrees): 3.2114 4.6005 7.1991 108.63 102.89 90.00
Fractional coordinates of all 5 atoms:
Mg: 0.2652 0.2652 0.5303
Mg: 0.9254 0.9254 0.8507
In: 0.4908 0.4908 0.9815
Ga: 0.6982 0.6982 0.3963
Ru: 0.6036 0.1036 0.2072

Calculated values
- Magnetization: 0.133 μB per formula unit
- Formation energy: -0.0066 eV per atom
- E: -3.65 eV/atom

***

Entry 8:
Density functional theory data (PBE-GGA) for crystalline PdI2NO at its relaxed geometry.

Lattice parameters (Å, degrees): 5.7201 5.7201 3.8167 90.00 90.00 90.00
Fractional coordinates of all 5 atoms:
I: 0.0000 0.5000 0.0000
I: 0.5000 0.0000 0.0000
O: 0.0000 0.0000 0.5000
Pd: 0.0000 0.0000 0.0000
N: 0.5000 0.5000 0.5000

Calculated values
- Magnetization: 3.693 μB per formula unit
- Energy relative to the elements, uncorrected: 1.11 eV per atom
- E: -3.20 eV/atom

***

Entry 9:
Density functional theory data (PBE-GGA) for crystalline ScZn2F at its relaxed geometry.

Lattice parameters (Å, degrees): 7.9709 7.9709 6.0509 48.80 48.80 90.00
Fractional coordinates of all 8 atoms:
Sc: 0.0000 0.0000 0.0000
Sc: 0.7500 0.2500 0.5000
Zn: 0.5745 0.1250 0.2500
Zn: 0.1755 0.6250 0.2500
Zn: 0.3750 0.4255 0.7500
Zn: 0.8750 0.8245 0.7500
F: 0.5000 0.5000 0.0000
F: 0.2500 0.7500 0.5000

Calculated values
- Magnetization: 0.000 μB per formula unit
- Energy relative to the elements, uncorrected: -0.89 eV per atom
- E: -3.58 eV/atom

***

Entry 10:
Density functional theory data (PBE-GGA) for crystalline Na2LiPa2S6 at its relaxed geometry.

Lattice parameters (Å, degrees): 6.9674 6.9674 6.9932 98.61 98.61 121.27
Fractional coordinates of all 11 atoms:
Na: 0.8414 0.1586 0.0000
Na: 0.1586 0.8414 0.0000
Li: 0.0000 0.0000 0.5000
Pa: 0.3365 0.6635 0.5000
Pa: 0.6635 0.3365 0.5000
S: 0.7352 0.7352 0.7120
S: 0.0631 0.4227 0.7208
S: 0.2648 0.2648 0.2880
S: 0.4227 0.0631 0.7208
S: 0.9369 0.5773 0.2792
S: 0.5773 0.9369 0.2792

Calculated values
- Magnetization: 1.064 μB per formula unit
- Energy relative to the elements, uncorrected: -1.50 eV per atom
- E: -5.89 eV/atom

***

Entry 11:
Density functional theory data (PBE-GGA) for crystalline Ti2NbFe2 at its relaxed geometry.

Lattice parameters (Å, degrees): 6.9394 6.9394 2.9989 90.00 90.00 90.00
Fractional coordinates of all 10 atoms:
Nb: 0.0000 0.0000 0.0000
Nb: 0.5000 0.5000 0.0000
Fe: 0.3607 0.8607 0.0000
Fe: 0.8607 0.6393 0.0000
Fe: 0.6393 0.1393 0.0000
Fe: 0.1393 0.3607 0.0000
Ti: 0.1562 0.6562 0.5000
Ti: 0.6562 0.8438 0.5000
Ti: 0.8438 0.3438 0.5000
Ti: 0.3438 0.1562 0.5000

Calculated values
- Magnetization: 0.000 μB per formula unit
- Formation energy: -0.0469 eV per atom
- E: -8.60 eV/atom

***

Entry 12:
Density functional theory data (PBE-GGA) for crystalline PmDy2Y6Sc3 at its relaxed geometry.

Lattice parameters (Å, degrees): 6.0793 6.0793 11.5347 95.03 95.03 119.97
Fractional coordinates of all 12 atoms:
Pm: 0.0000 0.0000 0.0000
Dy: 0.3334 0.6666 0.0000
Dy: 0.6666 0.3334 0.0000
Y: 0.9131 0.5796 0.7403
Y: 0.7532 0.7532 0.2599
Y: 0.0869 0.4204 0.2597
Y: 0.5796 0.9131 0.7403
Y: 0.2468 0.2468 0.7401
Y: 0.4204 0.0869 0.2597
Sc: 0.1671 0.8329 0.5000
Sc: 0.8329 0.1671 0.5000
Sc: 0.5000 0.5000 0.5000

Calculated values
- Magnetization: 0.000 μB per formula unit
- Formation energy: 0.0515 eV per atom
- E: -5.93 eV/atom

***

Entry 13:
Density functional theory data (PBE-GGA) for crystalline KHgBiCl6 at its relaxed geometry.

Lattice parameters (Å, degrees): 7.1064 7.1064 13.7384 90.00 90.00 120.00
Fractional coordinates of all 18 atoms:
K: 0.0000 0.0000 0.0000
K: 0.0000 0.0000 0.5000
Hg: 0.3333 0.6667 0.2500
Hg: 0.6667 0.3333 0.7500
Bi: 0.6667 0.3333 0.2500
Bi: 0.3333 0.6667 0.7500
Cl: 0.6306 0.6315 0.1372
Cl: 0.0010 0.3694 0.1372
Cl: 0.3694 0.0010 0.6372
Cl: 0.9990 0.6306 0.8628
Cl: 0.3685 0.3694 0.3628
Cl: 0.0010 0.6315 0.3628
Cl: 0.6315 0.0010 0.8628
Cl: 0.6306 0.9990 0.3628
Cl: 0.9990 0.3685 0.6372
Cl: 0.3685 0.9990 0.1372
Cl: 0.6315 0.6306 0.6372
Cl: 0.3694 0.3685 0.8628

Calculated values
- Magnetization: 0.000 μB per formula unit
- Energy relative to the elements, uncorrected: -1.09 eV per atom
- E: -2.91 eV/atom

***

Entry 14:
Density functional theory data (PBE-GGA) for crystalline CuHgH3 at its relaxed geometry.

Lattice parameters (Å, degrees): 3.8364 3.8364 3.8364 90.00 90.00 90.00
Fractional coordinates of all 5 atoms:
H: 0.0000 0.5000 0.0000
H: 0.0000 0.0000 0.5000
H: 0.5000 0.0000 0.0000
Hg: 0.0000 0.0000 0.0000
Cu: 0.5000 0.5000 0.5000

Calculated values
- Magnetization: 0.000 μB per formula unit
- E: -2.02 eV/atom

***

Entry 15:
Density functional theory data (PBE-GGA) for crystalline MgTc2P at its relaxed geometry.

Lattice parameters (Å, degrees): 4.8069 4.8069 4.3575 71.08 71.08 37.20
Fractional coordinates of all 4 atoms:
Mg: 0.5070 0.5070 0.5022
P: 0.2639 0.2639 0.2501
Tc: 0.9854 0.9854 0.0289
Tc: 0.7438 0.7438 0.7188

Calculated values
- Magnetization: 0.001 μB per formula unit
- Formation energy: 0.0012 eV per atom
- E: -6.93 eV/atom

***

Entry 16:
Density functional theory data (PBE-GGA) for crystalline La2Hg2Cl at its relaxed geometry.

Lattice parameters (Å, degrees): 8.9718 8.9718 3.7870 90.00 90.00 90.00
Fractional coordinates of all 10 atoms:
Cl: 0.0000 0.0000 0.0000
Cl: 0.5000 0.5000 0.0000
Hg: 0.3828 0.8828 0.0000
Hg: 0.8828 0.6172 0.0000
Hg: 0.6172 0.1172 0.0000
Hg: 0.1172 0.3828 0.0000
La: 0.1816 0.6816 0.5000
La: 0.6816 0.8184 0.5000
La: 0.8184 0.3184 0.5000
La: 0.3184 0.1816 0.5000

Calculated values
- Magnetization: 0.000 μB per formula unit
- Energy relative to the elements, uncorrected: -0.61 eV per atom
- E: -3.07 eV/atom

***

Entry 17:
Density functional theory data (PBE-GGA) for crystalline Pr2GeCl at its relaxed geometry.

Lattice parameters (Å, degrees): 4.2238 4.2238 7.8928 74.48 74.48 60.00
Fractional coordinates of all 4 atoms:
Pr: 0.0729 0.0729 0.7814
Pr: 0.2619 0.2619 0.2144
Ge: 0.6680 0.6680 0.9960
Cl: 0.4973 0.4973 0.5082

Calculated values
- Magnetization: 0.000 μB per formula unit
- Energy relative to the elements, uncorrected: -1.21 eV per atom
- E: -5.21 eV/atom

***

Entry 18:
Density functional theory data (PBE-GGA) for crystalline MgMnZn at its relaxed geometry.

Lattice parameters (Å, degrees): 6.0497 6.0422 6.0422 152.21 152.22 39.69
Fractional coordinates of all 3 atoms:
Mg: 0.9966 0.9969 0.9997
Mn: 0.3226 0.3227 0.9999
Zn: 0.6808 0.6804 0.0004

Calculated values
- Magnetization: 3.012 μB per formula unit
- Formation energy: 0.1014 eV per atom
- E: -3.91 eV/atom

***

Entry 19:
Density functional theory data (PBE-GGA) for crystalline KIn2Rh at its relaxed geometry.

Lattice parameters (Å, degrees): 4.6473 4.6473 4.3978 90.00 90.00 90.00
Fractional coordinates of all 4 atoms:
In: 0.0000 0.0000 0.0000
In: 0.5000 0.5000 0.0000
K: 0.5000 0.0000 0.5000
Rh: 0.0000 0.5000 0.5000

Calculated values
- Magnetization: 0.000 μB per formula unit
- Formation energy: 0.3285 eV per atom
- E: -3.15 eV/atom

***

Entry 20:
Density functional theory data (PBE-GGA) for crystalline ZrTcNi2 at its relaxed geometry.

Lattice parameters (Å, degrees): 8.9751 8.9751 8.9751 17.78 17.78 17.78
Fractional coordinates of all 4 atoms:
Ni: 0.9921 0.9921 0.9921
Ni: 0.2520 0.2520 0.2520
Tc: 0.5104 0.5104 0.5104
Zr: 0.7455 0.7455 0.7455

Calculated values
- Magnetization: 0.654 μB per formula unit
- Formation energy: 0.2381 eV per atom
- E: -7.38 eV/atom